Entry from OQMD via LeMat-Bulk: an optimized crystal structure of HgTePdO (PBE).

* energy above the most stable polymorph in this dataset: 275 meV/atom

Lattice parameters (Å, degrees): 3.9761 3.9761 10.6914 90.00 90.00 90.00
With the nearest neighbours (Å) after each atom.
Fractional positions:
Hg 0.2500 0.2500 0.3984  4 O 2.27
Te 0.2500 0.2500 0.1372  5 Pd 2.74-2.82, 1 Hg 2.79
O 0.2500 0.7500 0.5000  4 Hg 2.27
O 0.7500 0.2500 0.5000  4 Hg 2.27
Hg 0.7500 0.7500 0.6016  4 O 2.27
Pd 0.2500 0.2500 0.8810  5 Te 2.74-2.82
Pd 0.7500 0.7500 0.1190  5 Te 2.74-2.82
Te 0.7500 0.7500 0.8628  5 Pd 2.74-2.82, 1 Hg 2.79


Entry from OQMD via LeMat-Bulk: an optimized crystal structure of ScTlCoOs (PBE).

* energy above the most stable polymorph in this dataset: 116 meV/atom
* magnetic moment: 2.68 μB/cell

Lattice parameters (Å, degrees): 4.5768 4.5768 4.5768 60.00 60.00 60.00
With the nearest neighbours (Å) after each atom.
Fractional positions:
Co 0.7500 0.7500 0.7500  4 Os 2.80, 4 Tl 2.80
Tl 0.0000 0.0000 0.0000  4 Sc 2.80, 4 Co 2.80
Os 0.5000 0.5000 0.5000  4 Co 2.80, 4 Sc 2.80
Sc 0.2500 0.2500 0.2500  4 Tl 2.80, 4 Os 2.80


Entry from OQMD via LeMat-Bulk: an optimized crystal structure of HoGa2Pd2 (PBE).

* final energy: -24.8 eV/cell
* magnetic moment: 0.02 μB/cell

Lattice parameters (Å, degrees): 5.9987 5.9987 5.9987 138.68 138.68 59.86
With the nearest neighbours (Å) after each atom.
Fractional positions:
Ho 0.0000 0.0000 0.0000  8 Ga 3.24, 8 Pd 3.35
Pd 0.7500 0.2500 0.5000  4 Ga 2.52
Ga 0.3808 0.3808 0.0000  1 Ga 2.48, 4 Pd 2.52
Ga 0.6192 0.6192 0.0000  1 Ga 2.48, 4 Pd 2.52
Pd 0.2500 0.7500 0.5000  4 Ga 2.52


Entry from OQMD via LeMat-Bulk: an optimized crystal structure of BaErGa (PBE).

* energy above the most stable polymorph in this dataset: 0 meV/atom
* magnetic moment: 0.00 μB/cell

Lattice parameters (Å, degrees): 5.1884 5.1884 5.1884 60.00 60.00 60.00
With the nearest neighbours (Å) after each atom.
Fractional positions:
Ga 0.7500 0.7500 0.7500  4 Er 3.18
Ba 0.2500 0.2500 0.2500  4 Er 3.18
Er 0.0000 0.0000 0.0000  4 Ga 3.18, 4 Ba 3.18


Entry from OQMD via LeMat-Bulk: an optimized crystal structure of PaAg (PBE).

* energy above the most stable polymorph in this dataset: 618 meV/atom
* magnetic moment: 2.28 μB/cell
* formation enthalpy at 0 K: 787 meV/atom

Lattice parameters (Å, degrees): 4.2413 4.2413 4.2413 60.00 60.00 60.00
With the nearest neighbours (Å) after each atom.
Fractional positions:
Pa 0.5000 0.5000 0.5000  6 Ag 3.00
Ag 0.0000 0.0000 0.0000  6 Pa 3.00


Entry from OQMD via LeMat-Bulk: an optimized crystal structure of NbAgHg2 (PBE).

* magnetic moment: 0.90 μB/cell
* formation enthalpy at 0 K: 485 meV/atom

Lattice parameters (Å, degrees): 4.8114 4.8114 4.8114 60.00 60.00 60.00
With the nearest neighbours (Å) after each atom.
Fractional positions:
Nb 0.0000 0.0000 0.0000  4 Ag 2.95, 4 Hg 2.95
Ag 0.7500 0.7500 0.7500  4 Nb 2.95, 4 Hg 2.95
Hg 0.5000 0.5000 0.5000  4 Hg 2.95, 4 Ag 2.95
Hg 0.2500 0.2500 0.2500  4 Hg 2.95, 4 Nb 2.95


Entry from OQMD via LeMat-Bulk: an optimized crystal structure of SrTmAgS3 (PBE).

* energy above the most stable polymorph in this dataset: 14 meV/atom
* magnetic moment: 0.01 μB/cell

Lattice parameters (Å, degrees): 13.3592 4.0036 10.3808 90.00 90.00 90.00
With the nearest neighbours (Å) after each atom.
Fractional positions:
Ag 0.0028 0.7500 0.4050  4 S 2.52-2.79, 2 Ag 2.81
S 0.1175 0.7500 0.6295  3 Ag 2.59-2.79, 1 Tm 2.76
Tm 0.0161 0.2500 0.1676  6 S 2.69-2.76
S 0.1014 0.2500 0.9334  3 Tm 2.69-2.75, 2 Sr 3.00
S 0.3825 0.2500 0.1295  3 Ag 2.59-2.79, 1 Tm 2.76
Sr 0.7322 0.2500 0.0417  6 S 3.00-3.21
S 0.1443 0.7500 0.2442  1 Ag 2.52, 2 Tm 2.75
Ag 0.5028 0.7500 0.0950  4 S 2.52-2.79, 2 Ag 2.81
Tm 0.9839 0.7500 0.8324  6 S 2.69-2.76
S 0.3557 0.2500 0.7442  1 Ag 2.52, 2 Tm 2.75
Ag 0.9972 0.2500 0.5950  4 S 2.52-2.79, 2 Ag 2.81
S 0.8825 0.2500 0.3705  3 Ag 2.59-2.79, 1 Tm 2.76
Tm 0.4839 0.7500 0.6676  6 S 2.69-2.76
S 0.3986 0.7500 0.4334  3 Tm 2.69-2.75, 2 Sr 3.00
Sr 0.2322 0.2500 0.4583  6 S 3.00-3.21
S 0.6175 0.7500 0.8705  3 Ag 2.59-2.79, 1 Tm 2.76
S 0.8986 0.7500 0.0666  3 Tm 2.69-2.75, 2 Sr 3.00
Sr 0.7678 0.7500 0.5417  6 S 3.00-3.21
S 0.6014 0.2500 0.5666  3 Tm 2.69-2.75, 2 Sr 3.00
Sr 0.2678 0.7500 0.9583  6 S 3.00-3.21
S 0.6443 0.7500 0.2558  1 Ag 2.52, 2 Tm 2.75
Ag 0.4972 0.2500 0.9050  4 S 2.52-2.79, 2 Ag 2.81
Tm 0.5161 0.2500 0.3324  6 S 2.69-2.76
S 0.8557 0.2500 0.7558  1 Ag 2.52, 2 Tm 2.75


Entry from OQMD via LeMat-Bulk: an optimized crystal structure of MgZnNiOs (PBE).

* final energy: -18.6 eV/cell
* magnetic moment: 1.29 μB/cell

Lattice parameters (Å, degrees): 4.2861 4.2861 4.2861 60.00 60.00 60.00
With the nearest neighbours (Å) after each atom.
Fractional positions:
Zn 0.0000 0.0000 0.0000  4 Mg 2.62, 4 Ni 2.62
Os 0.5000 0.5000 0.5000  4 Mg 2.62, 4 Ni 2.62
Mg 0.2500 0.2500 0.2500  4 Os 2.62, 4 Zn 2.62
Ni 0.7500 0.7500 0.7500  4 Zn 2.62, 4 Os 2.62


Ρ for every record listed, in sequence, given in Mg/m³: 8.9; 12.2; 9.2; 6.3; 10.4; 12.7; 5.5; 10.1.